VASP calculation (PBE+U) on an optimized crystal structure of MgFeN2F.

Lattice parameters (Å, degrees): 3.768 3.768 4.038 90.00 90.00 90.00
Atoms (fractional coordinates):
1 Mg 0.000 0.000 0.000
2 Fe 0.500 0.500 0.500
3 N 0.000 0.500 0.500
4 N 0.500 0.000 0.500
5 F 0.500 0.500 0.000

Summary:
The space group is P4/mmm (123). The relative energy among the computed polymorphs comes out at 0.000 eV per atom. Its uncorrected energy is -26.17 eV/cell. The calculation puts the mass density at 3.68 Mg/m³. The total magnetization is 3.6 μB per cell.